Entry 1:
TbMg2Pd3 | PBE | relaxed

abc: 4.7248 6.5387 7.4409
angles: 90.00 108.01 90.00
Fractional coordinates of all 12 atoms:
Tb (0.1607, 0.0000, 0.3213)
Tb (0.8393, 0.0000, 0.6787)
Mg (0.1722, 0.5000, 0.3432)
Mg (0.5000, 0.0000, 0.0000)
Mg (0.5000, 0.5000, 0.0000)
Mg (0.8278, 0.5000, 0.6568)
Pd (0.0000, 0.2739, 0.0000)
Pd (0.0000, 0.7261, 0.0000)
Pd (0.3369, 0.2647, 0.6736)
Pd (0.3369, 0.7353, 0.6736)
Pd (0.6631, 0.2647, 0.3264)
Pd (0.6631, 0.7353, 0.3264)

Properties
As for the spin magnetization: 0.000 μB/atom. Its energy is -4.6646 eV per atom. The value obtained for the formation energy is -765 meV/atom.

***

Entry 2:
TbMg4Pd | PBE | relaxed

abc: 8.8475 4.0948 7.4960
angles: 90.00 90.00 90.00
Fractional coordinates of all 12 atoms:
Tb (0.2500, 0.0000, 0.0964)
Tb (0.7500, 0.0000, 0.9036)
Mg (0.0000, 0.0000, 0.5000)
Mg (0.0578, 0.5000, 0.8078)
Mg (0.2500, 0.5000, 0.4490)
Mg (0.4422, 0.5000, 0.8078)
Mg (0.5000, 0.0000, 0.5000)
Mg (0.5578, 0.5000, 0.1922)
Mg (0.7500, 0.5000, 0.5510)
Mg (0.9422, 0.5000, 0.1922)
Pd (0.2500, 0.0000, 0.7056)
Pd (0.7500, 0.0000, 0.2944)

Properties
As for the spin magnetization: 0.000 μB/atom. Its energy is -3.0390 eV per atom. The value obtained for the formation energy is -339 meV/atom.

***

Entry 3:
Tb5Mg4Pd | PBE | relaxed

abc: 3.7266 3.7266 18.7691
angles: 90.00 90.00 90.00
Fractional coordinates of all 10 atoms:
Tb (0.0000, 0.0000, 0.0000)
Tb (0.0000, 0.0000, 0.2063)
Tb (0.0000, 0.0000, 0.4131)
Tb (0.0000, 0.0000, 0.5869)
Tb (0.0000, 0.0000, 0.7937)
Mg (0.5000, 0.5000, 0.1036)
Mg (0.5000, 0.5000, 0.3075)
Mg (0.5000, 0.5000, 0.6925)
Mg (0.5000, 0.5000, 0.8964)
Pd (0.5000, 0.5000, 0.5000)

Properties
As for the spin magnetization: 0.000 μB/atom. Its energy is -3.7129 eV per atom. The value obtained for the formation energy is -241 meV/atom.

***

Entry 4:
TbMg2Pd2 | PBE | relaxed

abc: 5.1010 4.7746 8.4747
angles: 90.00 101.07 90.00
Fractional coordinates of all 10 atoms:
Tb (0.1825, 0.2500, 0.2827)
Tb (0.8175, 0.7500, 0.7173)
Mg (0.3027, 0.2500, 0.6646)
Mg (0.3565, 0.7500, 0.9711)
Mg (0.6435, 0.2500, 0.0289)
Mg (0.6973, 0.7500, 0.3354)
Pd (0.0994, 0.2500, 0.9256)
Pd (0.2598, 0.7500, 0.4992)
Pd (0.7402, 0.2500, 0.5008)
Pd (0.9006, 0.7500, 0.0744)

Properties
As for the spin magnetization: 0.000 μB/atom. Its energy is -4.2833 eV per atom. The value obtained for the formation energy is -642 meV/atom.